(1)
Compound: NaCdAu
Source: the Alexandria database
Functional: PBE
Structure: relaxed

It has space group P-6m2 (No. 187), with a = 4.8723 Å, b = 4.8723 Å, c = 3.3146 Å, α = 90.00°, β = 90.00° and γ = 120.00°. Symmetry generates all atoms from Na at (0.0000, 0.0000, 0.0000), Cd at (0.6667, 0.3333, 0.5000) and Au at (0.3333, 0.6667, 0.5000).

Its formation energy from the elements is -0.2290 eV/atom. The theoretical density is 8.1 g cm⁻³. The calculation puts the energy relative to the lowest polymorph listed for this composition at 17 meV/atom.

(2)
Compound: Li2AcTl5
Source: the Alexandria database
Functional: PBE
Structure: relaxed

It has space group Immm (No. 71), with a = 4.574 Å, b = 7.820 Å, c = 11.942 Å, α = 90.00°, β = 90.00° and γ = 90.00°. Symmetry generates all atoms from Li at (0.000, 0.000, 0.232), Ac at (0.000, 0.500, 0.000), Tl at (0.000, 0.000, 0.000) and Tl at (0.000, 0.292, 0.355).

Its formation energy from the elements is -0.1900 eV/atom. The theoretical density is 9.8 g cm⁻³.

(3)
Compound: TaSiSb2
Source: the Alexandria database
Functional: PBE
Structure: relaxed

It has space group Cmmm (No. 65), with a = 6.071 Å, b = 7.718 Å, c = 3.489 Å, α = 90.00°, β = 90.00° and γ = 90.00°. Symmetry generates all atoms from Ta at (0.000, 0.000, 0.000), Si at (0.000, 0.500, 0.000) and Sb at (0.250, 0.250, 0.500).

As for the formation energy without anion corrections: 1.82 eV/f.u. The theoretical density is 9.2 g cm⁻³.

(4)
Compound: WI2NCl
Source: the Alexandria database
Functional: PBE
Structure: relaxed

It has space group P4/mmm (No. 123), with a = 6.317 Å, b = 6.317 Å, c = 3.328 Å, α = 90.00°, β = 90.00° and γ = 90.00°. Symmetry generates all atoms from W at (0.000, 0.000, 0.000), I at (0.000, 0.500, 0.500), N at (0.500, 0.500, 0.000) and Cl at (0.500, 0.500, 0.500).

As for the formation energy without anion corrections: 10.39 eV/f.u. The theoretical density is 6.1 g cm⁻³. The calculation puts the energy relative to the lowest polymorph listed for this composition at 1755 meV/atom.

(5)
Compound: Li2TiHgO4
Source: the Alexandria database
Functional: PBE
Structure: relaxed

It has space group I-42m (No. 121), with a = 4.872 Å, b = 4.872 Å, c = 8.672 Å, α = 90.00°, β = 90.00° and γ = 90.00°. Symmetry generates all atoms from Li at (0.000, 0.500, 0.250), Ti at (0.000, 0.000, 0.000), Hg at (0.000, 0.000, 0.500) and O at (0.213, 0.213, 0.129).

As for the formation energy without anion corrections: -15.96 eV/f.u. The theoretical density is 5.3 g cm⁻³.

(6)
Compound: Na3H8Ir
Source: the Alexandria database
Functional: PBE
Structure: relaxed

It has space group I4/mmm (No. 139), with a = 4.925 Å, b = 4.925 Å, c = 9.676 Å, α = 90.00°, β = 90.00° and γ = 90.00°. Symmetry generates all atoms from Na at (0.000, 0.000, 0.000), Na at (0.000, 0.500, 0.250), H at (0.204, 0.204, 0.398) and Ir at (0.000, 0.000, 0.500).

The total energy comes out at -80.40 eV/cell. The theoretical density is 3.8 g cm⁻³.

(7)
Compound: Ce2PmPdSe5
Source: the Alexandria database
Functional: PBE
Structure: relaxed

It has space group Cmc2_1 (No. 36), with a = 4.038 Å, b = 17.499 Å, c = 12.513 Å, α = 90.00°, β = 90.00° and γ = 90.00°. Symmetry generates all atoms from Ce at (0.000, 0.106, 0.000), Ce at (0.000, 0.121, 0.346), Pm at (0.000, 0.173, 0.673), Pd at (0.000, 0.446, 0.068), Se at (0.000, 0.007, 0.671), Se at (0.000, 0.306, 0.344), Se at (0.000, 0.308, 0.000), Se at (0.000, 0.342, 0.669) and Se at (0.000, 0.496, 0.387).

As for the formation energy without anion corrections: -14.13 eV/f.u. The theoretical density is 7.0 g cm⁻³.

(8)
Compound: TeIr
Source: the Alexandria database
Functional: PBE
Structure: relaxed

It has space group Imma (No. 74), with a = 3.042 Å, b = 4.986 Å, c = 10.265 Å, α = 90.00°, β = 90.00° and γ = 90.00°. Symmetry generates all atoms from Te at (0.000, 0.250, 0.100) and Ir at (0.000, 0.250, 0.635).

As for the formation energy without anion corrections: 1.02 eV/f.u. The theoretical density is 13.6 g cm⁻³.

(9)
Compound: HoAl2Fe2Ge
Source: the Alexandria database
Functional: PBE
Structure: relaxed

It has space group P4/mmm (No. 123), with a = 4.378 Å, b = 4.378 Å, c = 5.543 Å, α = 90.00°, β = 90.00° and γ = 90.00°. Symmetry generates all atoms from Ho at (0.000, 0.000, 0.000), Al at (0.500, 0.500, 0.247), Fe at (0.000, 0.500, 0.500) and Ge at (0.000, 0.000, 0.500).

Its formation energy from the elements is -0.1228 eV/atom. The theoretical density is 6.3 g cm⁻³.

(10)
Compound: Nd3Sm5Sn
Source: the Alexandria database
Functional: PBE
Structure: relaxed

It has space group C2/m (No. 12), with a = 9.962 Å, b = 11.804 Å, c = 11.469 Å, α = 90.00°, β = 90.38° and γ = 90.00°. Symmetry generates all atoms from Nd at (0.000, 0.000, 0.000), Nd at (0.000, 0.000, 0.500), Nd at (0.166, 0.500, 0.487), Nd at (0.172, 0.000, 0.248), Sm at (0.000, 0.256, 0.000), Sm at (0.017, 0.500, 0.239), Sm at (0.131, 0.248, 0.641), Sm at (0.180, 0.500, 0.004) and Sn at (0.156, 0.000, 0.758).

Its formation energy from the elements is 0.2766 eV/atom. The theoretical density is 6.4 g cm⁻³.

(11)
Compound: CaRhIO2
Source: the Alexandria database
Functional: PBE
Structure: relaxed

It has space group P4/mmm (No. 123), with a = 4.196 Å, b = 4.196 Å, c = 5.273 Å, α = 90.00°, β = 90.00° and γ = 90.00°. Symmetry generates all atoms from Ca at (0.000, 0.000, 0.000), Rh at (0.500, 0.500, 0.500), I at (0.500, 0.500, 0.000) and O at (0.000, 0.500, 0.500).

As for the formation energy without anion corrections: -3.28 eV/f.u. The theoretical density is 5.4 g cm⁻³. The calculation puts the energy relative to the lowest polymorph listed for this composition at 0 meV/atom.

(12)
Compound: BaTl3
Source: the Alexandria database
Functional: PBE
Structure: relaxed

It has space group R-3m (No. 166, hexagonal axes), with a = 11.3373 Å, b = 11.3373 Å, c = 3.8131 Å, α = 90.00°, β = 90.00° and γ = 120.00°. Symmetry generates all atoms from Ba at (0.0000, 0.0000, 0.0000) and Tl at (0.0000, 0.5000, 0.0000).

Its formation energy from the elements is -0.1492 eV/atom. The theoretical density is 8.8 g cm⁻³.

(13)
Compound: Y2ZrRu
Source: the Alexandria database
Functional: PBE
Structure: relaxed

It has space group P4/mmm (No. 123), with a = 3.416 Å, b = 3.416 Å, c = 8.125 Å, α = 90.00°, β = 90.00° and γ = 90.00°. Symmetry generates all atoms from Y at (0.000, 0.000, 0.206), Zr at (0.500, 0.500, 0.500) and Ru at (0.500, 0.500, 0.000).

Its formation energy from the elements is -0.0941 eV/atom. The theoretical density is 6.5 g cm⁻³. The calculation puts the energy relative to the lowest polymorph listed for this composition at 146 meV/atom.

no.,magnetization (μB per cell)
1,0.0
2,0.0
3,0.0
4,3.1
5,0.0
6,0.0
7,4.9
8,0.0
9,2.8
10,0.0
11,1.5
12,0.0
13,0.0